This record from the Alexandria database describes crystalline Tl2GaCl5 at its relaxed geometry. The functional is PBE.

Properties
crystal system	orthorhombic
DOS(E_F)	0.00	states/eV/f.u.
E_tot	-3.226	eV/atom
spin magnetization	0.0	μB per formula unit

Cell: 8.1159 12.1646 13.1117 Å, 90.00 90.00 90.00°
Closest atoms and distances in Å follow each position.
Fractional positions:
Tl  0.2642  0.0000  0.0000  2 Cl 2.93
Tl  0.7358  0.0000  0.0000  2 Cl 2.93
Tl  0.0000  0.0900  0.6630  1 Cl 2.85
Tl  0.5000  0.4100  0.1630  1 Cl 2.85
Tl  0.2358  0.5000  0.5000  2 Cl 2.93
Tl  0.7642  0.5000  0.5000  2 Cl 2.93
Tl  0.5000  0.5900  0.8370  1 Cl 2.85
Tl  0.0000  0.9100  0.3370  1 Cl 2.85
Ga  0.0000  0.2680  0.2425  4 Cl 2.19-2.22
Ga  0.5000  0.2320  0.7425  4 Cl 2.19-2.22
Ga  0.5000  0.7680  0.2575  4 Cl 2.19-2.22
Ga  0.0000  0.7320  0.7575  4 Cl 2.19-2.22
Cl  0.0000  0.1009  0.8804  3 Tl 2.85-2.93
Cl  0.5000  0.0528  0.7598  1 Ga 2.19
Cl  0.0000  0.1861  0.3925  1 Ga 2.20
Cl  0.2228  0.2173  0.1565  1 Ga 2.22
Cl  0.7772  0.2173  0.1565  1 Ga 2.22
Cl  0.2772  0.2827  0.6565  1 Ga 2.22
Cl  0.7228  0.2827  0.6565  1 Ga 2.22
Cl  0.5000  0.3139  0.8925  1 Ga 2.20
Cl  0.0000  0.4472  0.2598  1 Ga 2.19
Cl  0.5000  0.3991  0.3804  3 Tl 2.85-2.93
Cl  0.5000  0.6009  0.6196  3 Tl 2.85-2.93
Cl  0.0000  0.5528  0.7402  1 Ga 2.19
Cl  0.5000  0.6861  0.1075  1 Ga 2.20
Cl  0.2772  0.7173  0.3435  1 Ga 2.22
Cl  0.7228  0.7173  0.3435  1 Ga 2.22
Cl  0.2228  0.7827  0.8435  1 Ga 2.22
Cl  0.7772  0.7827  0.8435  1 Ga 2.22
Cl  0.0000  0.8139  0.6075  1 Ga 2.20
Cl  0.5000  0.9472  0.2402  1 Ga 2.19
Cl  0.0000  0.8991  0.1196  3 Tl 2.85-2.93